This record from the Open Quantum Materials Database describes a relaxed ZnCdCuSi crystal. The functional is GGA-PBE.

Symmetry: F-43m
DFT total energy in eV/atom: -2.473
Relative energy among the computed polymorphs in meV/atom: 34
Calculated volume in Å³/cell: 66

Lattice parameters (Å, degrees): 4.5303 4.5303 4.5303 60.00 60.00 60.00
Fractional positions:
Zn (0.0000, 0.0000, 0.0000)
Cd (0.2500, 0.2500, 0.2500)
Cu (0.7500, 0.7500, 0.7500)
Si (0.5000, 0.5000, 0.5000)

---

This record from the Open Quantum Materials Database describes a relaxed ZnCdCuSi crystal. The functional is GGA-PBE.

Symmetry: F-43m
DFT total energy in eV/atom: -2.506
Relative energy among the computed polymorphs in meV/atom: 0
Calculated volume in Å³/cell: 65

Lattice parameters (Å, degrees): 4.5163 4.5163 4.5163 60.00 60.00 60.00
Fractional positions:
Zn (0.0000, 0.0000, 0.0000)
Cd (0.7500, 0.7500, 0.7500)
Cu (0.5000, 0.5000, 0.5000)
Si (0.2500, 0.2500, 0.2500)

---

This record from the Open Quantum Materials Database describes a relaxed ZrCdCuSi crystal. The functional is GGA-PBE.

Symmetry: F-43m
DFT total energy in eV/atom: -4.568
Relative energy among the computed polymorphs in meV/atom: 0
Calculated volume in Å³/cell: 70

Lattice parameters (Å, degrees): 4.6189 4.6189 4.6189 60.00 60.00 60.00
Fractional positions:
Zr (0.0000, 0.0000, 0.0000)
Cd (0.7500, 0.7500, 0.7500)
Cu (0.5000, 0.5000, 0.5000)
Si (0.2500, 0.2500, 0.2500)

---

This record from the Open Quantum Materials Database describes a relaxed ZrCdCuSi crystal. The functional is GGA-PBE.

Symmetry: F-43m
DFT total energy in eV/atom: -4.384
Relative energy among the computed polymorphs in meV/atom: 185
Calculated volume in Å³/cell: 71

Lattice parameters (Å, degrees): 4.6404 4.6404 4.6404 60.00 60.00 60.00
Fractional positions:
Zr (0.0000, 0.0000, 0.0000)
Cd (0.2500, 0.2500, 0.2500)
Cu (0.7500, 0.7500, 0.7500)
Si (0.5000, 0.5000, 0.5000)

---

- What is the DFT total energy in the fourth record?
  -4.384 eV/atom